# 1
First-principles (PBE) data for a relaxed PrErAl2Pt4 crystal, as listed in the Open Quantum Materials Database.

For the mass density, the calculation gives 12158 kg/m3. Its uncorrected energy is -6.275 eV per atom.

It has space group P-6m2 (No. 187), with a = 4.3632 Å, b = 4.3632 Å, c = 9.4640 Å, α = 90.00°, β = 90.00° and γ = 120.00°. Symmetry generates all atoms from Pr at (0.0000, 0.0000, 0.0000), Er at (0.3333, 0.6667, 0.5000), Al at (0.6667, 0.3333, 0.2585), Pt at (0.0000, 0.0000, 0.3408) and Pt at (0.3333, 0.6667, 0.1852).


# 2
First-principles (PBE) data for a relaxed Cd2RePb crystal, as listed in the Open Quantum Materials Database.

For the mass density, the calculation gives 12496 kg/m3. Its uncorrected energy is -3.580 eV per atom.

It has space group F-43m (No. 216), with a = 6.9008 Å, b = 6.9008 Å, c = 6.9008 Å, α = 90.00°, β = 90.00° and γ = 90.00°. Symmetry generates all atoms from Cd at (0.0000, 0.0000, 0.0000), Cd at (0.2500, 0.2500, 0.2500), Re at (0.2500, 0.2500, 0.7500) and Pb at (0.0000, 0.0000, 0.5000).


# 3
First-principles (PBE) data for a relaxed CoAgSbW crystal, as listed in the Open Quantum Materials Database.

The value obtained for the energy relative to the lowest polymorph listed for this composition is 0 kJ/mol of formula units. For the mass density, the calculation gives 11991 kg/m3.

It has space group F-43m (No. 216), with a = 6.3962 Å, b = 6.3962 Å, c = 6.3962 Å, α = 90.00°, β = 90.00° and γ = 90.00°. Symmetry generates all atoms from Co at (0.0000, 0.0000, 0.0000), Ag at (0.2500, 0.2500, 0.2500), Sb at (0.2500, 0.2500, 0.7500) and W at (0.0000, 0.0000, 0.5000).


# 4
First-principles (PBE) data for a relaxed TbPrSi2 crystal, as listed in the Open Quantum Materials Database.

The value obtained for the energy relative to the lowest polymorph listed for this composition is 3 kJ/mol of formula units. For the mass density, the calculation gives 6344 kg/m3.

It has space group Pmc2_1 (No. 26), with a = 3.9098 Å, b = 5.8548 Å, c = 8.1421 Å, α = 90.00°, β = 90.00° and γ = 90.00°. Symmetry generates all atoms from Tb at (0.0000, 0.1358, 0.0000), Pr at (0.5000, 0.3645, 0.3589), Si at (0.0000, 0.3684, 0.6449) and Si at (0.5000, 0.1208, 0.7168).


Copy entry 3 word for word.
First-principles (PBE) data for a relaxed CoAgSbW crystal, as listed in the Open Quantum Materials Database.

The value obtained for the energy relative to the lowest polymorph listed for this composition is 0 kJ/mol of formula units. For the mass density, the calculation gives 11991 kg/m3.

It has space group F-43m (No. 216), with a = 6.3962 Å, b = 6.3962 Å, c = 6.3962 Å, α = 90.00°, β = 90.00° and γ = 90.00°. Symmetry generates all atoms from Co at (0.0000, 0.0000, 0.0000), Ag at (0.2500, 0.2500, 0.2500), Sb at (0.2500, 0.2500, 0.7500) and W at (0.0000, 0.0000, 0.5000).